{"formula": "PaTaNb4", "functional": "GGA-PBE", "state": "optimized geometry", "cell": [[-2.9028, 4.6374, -0.9267], [-3.5928, 0.2271, -4.2226], [-5.4566, 0.1045, 1.0024]], "species": ["Nb", "Nb", "Nb", "Nb", "Pa", "Ta"], "fractional_positions": [[0.1258, 0.6247, 0.6247], [0.6247, 0.1258, 0.6247], [0.6247, 0.6247, 0.6247], [0.6247, 0.6247, 0.1258], [0.2500, 0.2500, 0.2500], [0.0000, 0.0000, 0.0000]], "dft_energy_ev_per_atom": -10.09, "e_form_ev_per_atom": 0.18}

---

{"formula": "PrH3", "functional": "GGA-PBE", "state": "optimized geometry", "cell": [[-3.1763, 1.2539, 0.6658], [-1.1836, -1.4377, -2.9388], [-0.7840, -2.9095, 1.7391]], "species": ["H", "H", "H", "Pr"], "fractional_positions": [[0.5000, 0.0000, 0.5840], [0.0000, 0.5000, 0.5833], [0.5000, 0.5000, 0.0829], [0.0000, 0.0000, 0.0831]], "dft_energy_ev_per_atom": -4.08}

---

{"formula": "FeRe2Ru", "functional": "GGA-PBE", "state": "optimized geometry", "cell": [[-2.4586, 1.8106, -3.5387], [-1.9704, -0.7949, -4.1631], [-4.3041, -1.1381, 1.3842]], "species": ["Ru", "Re", "Re", "Fe"], "fractional_positions": [[0.7500, 0.7500, 0.7500], [0.0006, 0.0006, 0.0014], [0.4994, 0.4994, 0.4986], [0.2500, 0.2500, 0.2500]], "dft_energy_ev_per_atom": -10.55, "e_form_ev_per_atom": 0.11, "e_above_lowest_polymorph_ev_per_atom": 0.124}

---

{"formula": "InRe3C", "functional": "GGA-PBE", "state": "optimized geometry", "cell": [[-2.6907, 3.8545, -1.1226], [-3.7938, -2.8833, -0.8070], [-1.3133, 0.4320, 4.6309]], "species": ["C", "In", "Re", "Re", "Re"], "fractional_positions": [[0.5000, 0.5000, 0.5000], [0.0000, 0.0000, 0.0000], [0.0000, 0.5000, 0.0000], [0.0000, 0.0000, 0.5000], [0.5000, 0.0000, 0.0000]], "dft_energy_ev_per_atom": -5.39, "e_form_ev_per_atom": 4.47, "e_above_lowest_polymorph_ev_per_atom": 3.982}

---

{"formula": "Ce6HPt3", "functional": "GGA-PBE", "state": "optimized geometry", "cell": [[6.3908, 0.0000, -0.1392], [0.0000, 7.4993, 0.0000], [-0.1222, 0.0000, 10.1314]], "species": ["Ce", "Ce", "Ce", "Ce", "Ce", "Ce", "Ce", "Ce", "Ce", "Ce", "Ce", "Ce", "H", "H", "Pt", "Pt", "Pt", "Pt", "Pt", "Pt"], "fractional_positions": [[0.3458, 0.8476, 0.0577], [0.3430, 0.5408, 0.7354], [0.6542, 0.1524, 0.9423], [0.1542, 0.3476, 0.4423], [0.6418, 0.1931, 0.5726], [0.1418, 0.3069, 0.0726], [0.8430, 0.9592, 0.2354], [0.1570, 0.0408, 0.7646], [0.6570, 0.4592, 0.2646], [0.8582, 0.6931, 0.9274], [0.8458, 0.6524, 0.5577], [0.3582, 0.8069, 0.4274], [0.5000, 0.5000, 0.5000], [0.0000, 0.0000, 0.0000], [0.0000, 0.0000, 0.5000], [0.0680, 0.6239, 0.2293], [0.4320, 0.1239, 0.2707], [0.9320, 0.3761, 0.7707], [0.5680, 0.8761, 0.7293], [0.5000, 0.5000, 0.0000]], "dft_energy_ev_per_atom": -6.36, "e_above_lowest_polymorph_ev_per_atom": 0.000}

---

{"formula": "FeTePtN2", "functional": "GGA-PBE", "state": "optimized geometry", "cell": [[3.6468, 0.0000, 0.0000], [0.0000, 3.6468, 0.0000], [0.0000, 0.0000, 5.8098]], "species": ["Te", "Pt", "N", "N", "Fe"], "fractional_positions": [[0.0000, 0.0000, 0.5000], [0.5000, 0.5000, 0.5000], [0.5000, 0.0000, 0.0000], [0.0000, 0.5000, 0.0000], [0.0000, 0.0000, 0.0000]], "dft_energy_ev_per_atom": -5.99, "e_above_lowest_polymorph_ev_per_atom": 0.000, "raw_formation_energy_mev_per_atom": 866}

---

{"formula": "ScCuC3", "functional": "GGA-PBE", "state": "optimized geometry", "cell": [[3.8303, 0.0000, 0.0000], [0.0000, 3.8303, 0.0000], [0.0000, 0.0000, 3.8303]], "species": ["Sc", "Cu", "C", "C", "C"], "fractional_positions": [[0.5000, 0.5000, 0.5000], [0.0000, 0.0000, 0.0000], [0.5000, 0.0000, 0.0000], [0.0000, 0.0000, 0.5000], [0.0000, 0.5000, 0.0000]], "dft_energy_ev_per_atom": -5.79, "e_form_ev_per_atom": 1.83, "e_above_lowest_polymorph_ev_per_atom": 0.000}

---

{"formula": "Ni3BiS", "functional": "GGA-PBE", "state": "optimized geometry", "cell": [[-0.5368, 1.4697, -4.5328], [1.9270, -4.1049, -1.5591], [-4.3581, -1.9961, -0.1311]], "species": ["Ni", "Ni", "Ni", "S", "Bi"], "fractional_positions": [[0.0000, 0.0000, 0.5000], [0.0000, 0.5000, 0.0000], [0.5000, 0.0000, 0.0000], [0.5000, 0.5000, 0.5000], [0.0000, 0.0000, 0.0000]], "dft_energy_ev_per_atom": -3.71, "e_above_lowest_polymorph_ev_per_atom": 1.325, "raw_formation_energy_mev_per_atom": 1356}

---

Please write out number 2 again, unchanged.
{"formula": "PrH3", "functional": "GGA-PBE", "state": "optimized geometry", "cell": [[-3.1763, 1.2539, 0.6658], [-1.1836, -1.4377, -2.9388], [-0.7840, -2.9095, 1.7391]], "species": ["H", "H", "H", "Pr"], "fractional_positions": [[0.5000, 0.0000, 0.5840], [0.0000, 0.5000, 0.5833], [0.5000, 0.5000, 0.0829], [0.0000, 0.0000, 0.0831]], "dft_energy_ev_per_atom": -4.08}

---

Which formula does entry 4 have? InRe3C